No. 1
A relaxed PrTaMnSi2 crystal, computed with PBE.

Cell lengths 4.016, 4.016, 6.349 Å; angles 108.44, 108.44, 90.00 degrees
Fractional positions:
Pr1 0.000 0.000 0.000
Ta1 0.250 0.750 0.500
Si1 0.389 0.389 0.778
Si2 0.611 0.611 0.222
Mn1 0.750 0.250 0.500

- Space-group type: I-4m2 (119)
- Uncorrected formation energy: -0.498 eV/atom

No. 2
A relaxed PrSm2Mn crystal, computed with PBE.

Cell lengths 3.619, 3.619, 8.989 Å; angles 90.00, 90.00, 90.00 degrees
Fractional positions:
Mn1 0.500 0.500 0.000
Sm1 0.000 0.000 0.198
Sm2 0.000 0.000 0.802
Pr1 0.500 0.500 0.500

- Polymorph energy (0 for the lowest one): 0 meV per atom
- Space-group type: P4/mmm (123)
- ΔE_f: 0.63 eV per formula unit

No. 3
A relaxed PrSm2Mn crystal, computed with PBE.

Cell lengths 3.468, 3.468, 11.855 Å; angles 81.59, 81.59, 60.00 degrees
Fractional positions:
Pr1 0.500 0.500 0.500
Sm1 0.920 0.920 0.240
Sm2 0.080 0.080 0.760
Mn1 0.000 0.000 0.000

- Polymorph energy (0 for the lowest one): 384 meV per atom
- Space-group type: R-3m (166)
- ΔE_f: 2.17 eV per formula unit

No. 4
A relaxed PrSmMnZn crystal, computed with PBE.

Cell lengths 5.185, 5.185, 5.185 Å; angles 60.00, 60.00, 60.00 degrees
Fractional positions:
Zn1 0.000 0.000 0.000
Pr1 0.250 0.250 0.250
Sm1 0.750 0.750 0.750
Mn1 0.500 0.500 0.500

- Space-group type: F-43m (216)
- ΔE_f: 0.04 eV per formula unit

No. 5
A relaxed TbPrMn4 crystal, computed with PBE.

Cell lengths 5.227, 5.227, 5.227 Å; angles 60.00, 60.00, 60.00 degrees
Fractional positions:
Tb1 0.000 0.000 0.000
Pr1 0.750 0.750 0.750
Mn1 0.879 0.374 0.374
Mn2 0.374 0.879 0.374
Mn3 0.374 0.374 0.879
Mn4 0.374 0.374 0.374

- Space-group type: F-43m (216)
- ΔE_f: 1.50 eV per formula unit

No. 6
A relaxed Tb2PrMn crystal, computed with PBE.

Cell lengths 3.438, 3.438, 11.390 Å; angles 81.32, 81.32, 60.00 degrees
Fractional positions:
Mn1 0.000 0.000 0.000
Pr1 0.500 0.500 0.500
Tb1 0.080 0.080 0.760
Tb2 0.920 0.920 0.240

- Polymorph energy (0 for the lowest one): 412 meV per atom
- Space-group type: R-3m (166)
- ΔE_f: 2.16 eV per formula unit

No. 7
A relaxed Tb3PrMn crystal, computed with PBE.

Cell lengths 5.361, 5.361, 5.361 Å; angles 90.00, 90.00, 90.00 degrees
Fractional positions:
Mn1 0.000 0.000 0.000
Tb1 0.500 0.000 0.000
Tb2 0.000 0.500 0.000
Tb3 0.000 0.000 0.500
Pr1 0.500 0.500 0.500

- Space-group type: Pm-3m (221)
- ΔE_f: 1.16 eV per formula unit

No. 8
A relaxed Tb2PrMn crystal, computed with PBE.

Cell lengths 3.528, 3.528, 9.084 Å; angles 90.00, 90.00, 90.00 degrees
Fractional positions:
Mn1 0.500 0.500 0.000
Tb1 0.000 0.000 0.192
Tb2 0.000 0.000 0.808
Pr1 0.500 0.500 0.500

- Polymorph energy (0 for the lowest one): 0 meV per atom
- Space-group type: P4/mmm (123)
- ΔE_f: 0.51 eV per formula unit

No. 9
A relaxed PrMnTc crystal, computed with PBE.

Cell lengths 6.119, 6.119, 6.124 Å; angles 69.98, 134.22, 130.14 degrees
Fractional positions:
Tc1 0.750 0.944 0.694
Tc2 0.250 0.056 0.306
Pr1 0.750 0.377 0.127
Pr2 0.250 0.623 0.873
Mn1 0.000 0.000 0.500
Mn2 0.500 0.500 0.500

- Space-group type: C2/m (12)
- ΔE_f: 0.91 eV per formula unit

No. 10
A relaxed PrMnTe2 crystal, computed with PBE.

Cell lengths 4.510, 4.668, 11.515 Å; angles 90.00, 90.00, 90.02 degrees
Fractional positions:
Mn1 0.702 0.320 0.977
Mn2 0.201 0.820 0.239
Te1 0.701 0.505 0.207
Te2 0.700 0.553 0.756
Te3 0.201 0.053 0.460
Te4 0.202 0.004 0.009
Pr1 0.700 0.556 0.475
Pr2 0.200 0.056 0.741

- Polymorph energy (0 for the lowest one): 0 meV per atom
- Space-group type: Pc (7)
- Uncorrected formation energy: -0.705 eV/atom

No. 11
A relaxed PrMnTe3 crystal, computed with PBE.

Cell lengths 4.295, 7.859, 8.795 Å; angles 94.05, 90.00, 90.00 degrees
Fractional positions:
Pr1 0.250 0.376 0.210
Pr2 0.750 0.624 0.790
Te1 0.250 0.907 0.658
Te2 0.250 0.372 0.591
Te3 0.750 0.262 0.955
Te4 0.750 0.628 0.409
Te5 0.250 0.738 0.045
Te6 0.750 0.093 0.342
Mn1 0.250 0.850 0.341
Mn2 0.750 0.150 0.659

- Polymorph energy (0 for the lowest one): 0 meV per atom
- Space-group type: P2_1/m (11)
- Uncorrected formation energy: -0.783 eV/atom

No. 12
A relaxed Pr3Mn5Te12 crystal, computed with PBE.

Cell lengths 14.883, 14.883, 14.883 Å; angles 109.47, 109.47, 109.47 degrees
Fractional positions:
Te1 0.880 0.586 0.911
Te2 0.620 0.589 0.914
Te3 0.089 0.175 0.469
Te4 0.911 0.086 0.880
Te5 0.706 0.120 0.031
Te6 0.206 0.675 0.086
Te7 0.825 0.914 0.294
Te8 0.031 0.620 0.706
Te9 0.175 0.089 0.969
Te10 0.911 0.825 0.531
Te11 0.914 0.089 0.620
Te12 0.914 0.825 0.794
Te13 0.675 0.206 0.586
Te14 0.586 0.880 0.411
Te15 0.120 0.706 0.531
Te16 0.325 0.794 0.414
Te17 0.794 0.325 0.914
Te18 0.175 0.086 0.706
Te19 0.414 0.120 0.589
Te20 0.380 0.411 0.086
Te21 0.825 0.911 0.031
Te22 0.469 0.675 0.089
Te23 0.469 0.794 0.880
Te24 0.206 0.531 0.620
Te25 0.620 0.031 0.206
Te26 0.380 0.969 0.794
Te27 0.294 0.880 0.969
Te28 0.969 0.589 0.175
Te29 0.880 0.294 0.469
Te30 0.794 0.469 0.380
Te31 0.411 0.380 0.586
Te32 0.411 0.031 0.325
Te33 0.086 0.175 0.206
Te34 0.675 0.469 0.589
Te35 0.531 0.325 0.911
Te36 0.589 0.969 0.675
Te37 0.325 0.531 0.411
Te38 0.120 0.414 0.089
Te39 0.031 0.411 0.825
Te40 0.086 0.911 0.380
Te41 0.969 0.380 0.294
Te42 0.706 0.586 0.175
Te43 0.414 0.294 0.325
Te44 0.586 0.706 0.675
Te45 0.531 0.206 0.120
Te46 0.294 0.414 0.825
Te47 0.589 0.620 0.414
Te48 0.089 0.914 0.120
Mn1 0.500 0.500 0.000
Mn2 0.750 0.125 0.875
Mn3 0.000 0.000 0.000
Mn4 0.125 0.375 0.250
Mn5 0.875 0.625 0.750
Mn6 0.250 0.375 0.625
Mn7 0.500 0.500 0.500
Mn8 0.000 0.500 0.500
Mn9 0.500 0.000 0.500
Mn10 0.375 0.125 0.750
Mn11 0.875 0.250 0.625
Mn12 0.000 0.500 0.000
Mn13 0.750 0.625 0.375
Mn14 0.000 0.000 0.500
Mn15 0.500 0.000 0.000
Mn16 0.250 0.875 0.125
Mn17 0.125 0.750 0.375
Mn18 0.375 0.250 0.125
Mn19 0.625 0.750 0.875
Mn20 0.625 0.875 0.250
Pr1 0.125 0.875 0.750
Pr2 0.625 0.250 0.375
Pr3 0.375 0.625 0.250
Pr4 0.375 0.750 0.625
Pr5 0.250 0.125 0.375
Pr6 0.750 0.375 0.125
Pr7 0.875 0.125 0.250
Pr8 0.875 0.750 0.125
Pr9 0.250 0.625 0.875
Pr10 0.125 0.250 0.875
Pr11 0.750 0.875 0.625
Pr12 0.625 0.375 0.750

- Space-group type: Ia-3d (230)
- Uncorrected formation energy: -0.574 eV/atom

| no. | size of the total moment (μB/f.u.) | DOS(E_F) (states/eV per cell) |
| --- | --- | --- |
| 1 | 1.395 | 3.31 |
| 2 | 3.472 | 6.31 |
| 3 | 3.093 | 4.34 |
| 4 | 3.198 | 5.05 |
| 5 | 7.035 | 8.36 |
| 6 | 3.008 | 4.02 |
| 7 | 0.404 | 9.50 |
| 8 | 3.048 | 5.82 |
| 9 | 1.231 | 5.71 |
| 10 | 4.327 | 3.58 |
| 11 | 4.001 | 3.00 |
| 12 | 20.001 | 25.83 |